1.
{"formula": "Tm2TeO6", "functional": "PBE", "state": "relaxed", "mass_density_g_cm3": 7.93, "e_form_raw_mev_per_atom": -2585, "n_ef_per_ev_cell": 0.00, "lattice_angstrom": [[5.2378, 0.0000, 0.0000], [0.0000, 9.0474, 0.0000], [0.0000, 0.0000, 9.9197]], "species": ["Tm", "Tm", "Tm", "Tm", "Tm", "Tm", "Tm", "Tm", "Te", "Te", "Te", "Te", "O", "O", "O", "O", "O", "O", "O", "O", "O", "O", "O", "O", "O", "O", "O", "O", "O", "O", "O", "O", "O", "O", "O", "O"], "fractional_positions": [[0.0160, 0.1036, 0.4625], [0.0405, 0.2169, 0.8658], [0.4595, 0.7831, 0.3658], [0.4840, 0.8964, 0.9625], [0.5160, 0.3964, 0.5375], [0.5405, 0.2831, 0.1342], [0.9595, 0.7169, 0.6342], [0.9840, 0.6036, 0.0375], [0.0364, 0.4950, 0.3509], [0.4636, 0.5050, 0.8509], [0.5364, 0.0050, 0.6491], [0.9636, 0.9950, 0.1491], [0.0939, 0.8426, 0.0299], [0.1714, 0.9508, 0.3032], [0.1774, 0.6413, 0.8211], [0.1895, 0.6430, 0.2372], [0.2375, 0.1161, 0.0688], [0.2422, 0.5854, 0.4966], [0.2578, 0.4146, 0.9966], [0.2625, 0.8839, 0.5688], [0.3105, 0.3570, 0.7372], [0.3226, 0.3587, 0.3211], [0.3286, 0.0492, 0.8032], [0.4061, 0.1574, 0.5299], [0.5939, 0.6574, 0.9701], [0.6714, 0.5492, 0.6968], [0.6774, 0.8587, 0.1789], [0.6895, 0.8570, 0.7628], [0.7375, 0.3839, 0.9312], [0.7422, 0.9146, 0.5034], [0.7578, 0.0854, 0.0034], [0.7625, 0.6161, 0.4312], [0.8105, 0.1430, 0.2628], [0.8226, 0.1413, 0.6789], [0.8286, 0.4508, 0.1968], [0.9061, 0.3426, 0.4701]]}



2.
{"formula": "TmTeO4", "functional": "PBE", "state": "relaxed", "mass_density_g_cm3": 7.34, "e_form_raw_mev_per_atom": -2048, "n_ef_per_ev_cell": 3.48, "lattice_angstrom": [[5.4454, 0.0000, 0.0000], [0.0000, 5.0981, 0.0000], [0.0000, 0.0000, 5.8742]], "species": ["Tm", "Tm", "Te", "Te", "O", "O", "O", "O", "O", "O", "O", "O"], "fractional_positions": [[0.0000, 0.0000, 0.0000], [0.0000, 0.5000, 0.5000], [0.5000, 0.0000, 0.3473], [0.5000, 0.5000, 0.8473], [0.1867, 0.2017, 0.2995], [0.1867, 0.2983, 0.7995], [0.3435, 0.7396, 0.5955], [0.3435, 0.7604, 0.0955], [0.6565, 0.2396, 0.0955], [0.6565, 0.2604, 0.5955], [0.8133, 0.7017, 0.7995], [0.8133, 0.7983, 0.2995]]}



3.
{"formula": "Tm2Te2O", "functional": "PBE", "state": "relaxed", "mass_density_g_cm3": 8.27, "e_form_raw_mev_per_atom": -2069, "n_ef_per_ev_cell": 0.15, "lattice_angstrom": [[-3.6146, 5.7614, 2.9346], [3.6146, -5.7614, 2.9346], [3.6146, 5.7614, -2.9346]], "species": ["Tm", "Tm", "Tm", "Tm", "Te", "Te", "Te", "Te", "O", "O"], "fractional_positions": [[0.0901, 0.1910, 0.2811], [0.4099, 0.6910, 0.1009], [0.5901, 0.3090, 0.8991], [0.9099, 0.8090, 0.7189], [0.1465, 0.6372, 0.7837], [0.3535, 0.1372, 0.4907], [0.6465, 0.8628, 0.5093], [0.8535, 0.3628, 0.2163], [0.2500, 0.2500, 0.0000], [0.7500, 0.7500, 0.0000]]}



4.
{"formula": "TmTe2O6", "functional": "PBE", "state": "relaxed", "mass_density_g_cm3": 5.51, "e_form_raw_mev_per_atom": -1638, "n_ef_per_ev_cell": 4.54, "lattice_angstrom": [[5.6674, -4.0459, 0.0000], [5.6674, 4.0459, 0.0000], [-3.5455, 0.0000, 6.8385]], "species": ["Tm", "Tm", "Te", "Te", "Te", "Te", "O", "O", "O", "O", "O", "O", "O", "O", "O", "O", "O", "O"], "fractional_positions": [[0.0750, 0.9250, 0.7500], [0.9250, 0.0750, 0.2500], [0.2783, 0.3302, 0.7338], [0.3302, 0.2783, 0.2338], [0.6698, 0.7217, 0.7662], [0.7217, 0.6698, 0.2662], [0.0554, 0.1781, 0.5996], [0.1134, 0.6015, 0.7246], [0.1781, 0.0554, 0.0996], [0.2682, 0.3881, 0.0114], [0.3881, 0.2682, 0.5114], [0.3985, 0.8866, 0.7754], [0.6015, 0.1134, 0.2246], [0.6119, 0.7318, 0.4886], [0.7318, 0.6119, 0.9886], [0.8219, 0.9446, 0.9004], [0.8866, 0.3985, 0.2754], [0.9446, 0.8219, 0.4004]]}



5.
{"formula": "Tm4Te5O", "functional": "PBE", "state": "relaxed", "mass_density_g_cm3": 5.85, "e_form_raw_mev_per_atom": -1459, "n_ef_per_ev_cell": 0.76, "lattice_angstrom": [[8.2427, -2.1955, 0.0000], [8.2427, 2.1955, 0.0000], [-3.1317, 0.0000, 10.4225]], "species": ["Tm", "Tm", "Tm", "Tm", "Te", "Te", "Te", "Te", "Te", "O"], "fractional_positions": [[0.0024, 0.0024, 0.3106], [0.3731, 0.3731, 0.9388], [0.6269, 0.6269, 0.0612], [0.9976, 0.9976, 0.6894], [0.1592, 0.1592, 0.8769], [0.1646, 0.1646, 0.2697], [0.5000, 0.5000, 0.5000], [0.8354, 0.8354, 0.7303], [0.8408, 0.8408, 0.1231], [0.5000, 0.5000, 0.0000]]}



6.
{"formula": "TmUTe2O", "functional": "PBE", "state": "relaxed", "mass_density_g_cm3": 9.11, "e_form_raw_mev_per_atom": -1741, "n_ef_per_ev_cell": 15.85, "lattice_angstrom": [[4.1268, 0.0000, 0.0000], [0.0000, 4.1268, 0.0000], [0.0000, 0.0000, 14.5212]], "species": ["Tm", "Tm", "U", "U", "Te", "Te", "Te", "Te", "O", "O"], "fractional_positions": [[0.2500, 0.2500, 0.0912], [0.7500, 0.7500, 0.9088], [0.2500, 0.2500, 0.5777], [0.7500, 0.7500, 0.4223], [0.2500, 0.2500, 0.3085], [0.2500, 0.2500, 0.8786], [0.7500, 0.7500, 0.1214], [0.7500, 0.7500, 0.6915], [0.2500, 0.7500, 0.5000], [0.7500, 0.2500, 0.5000]]}